First-principles (SCAN) data for a PBEsol-optimized structure of Li2AlOs, as listed in Alexandria. Values from VASP.

Geometry as Quantum ESPRESSO input:
```
&SYSTEM
  ibrav = 0, nat = 4, ntyp = 3
/
ATOMIC_SPECIES
Os 190.23 Os.upf
Al 26.98 Al.upf
Li 6.94 Li.upf
CELL_PARAMETERS angstrom
-0.5094 1.1772 2.2492
-2.7553 -2.7870 0.8347
3.8112 -3.0338 2.4511
ATOMIC_POSITIONS angstrom
Os 1.9795 -1.5758 1.2731
Al 1.0916 -2.9732 3.2938
Li 0.0505 -0.0402 0.0324
Li -0.6695 -1.5713 2.1612
```

Calculated values
**M_tot**: 0.00 μB per formula unit
**Density of states at the Fermi level**: 1.66 states/eV per cell
**Energy relative to the elements**: -0.12 eV per atom